Density functional theory data (PBE-GGA) for PmSm3Al2 after structural relaxation.

Cell and atoms, written as extended XYZ:
```
6
Lattice="4.8918 0.0000 0.0000 0.0000 4.4880 0.0000 -2.4382 0.0000 7.5394" Properties=species:S:1:pos:R:3 pbc="T T T"
Pm 0.0000 0.0000 0.0000
Sm -0.0002 2.2440 2.6460
Sm 2.4459 2.2440 0.0000
Sm 2.4539 2.2440 4.8934
Al 0.0073 0.0000 5.1305
Al 2.4463 0.0000 2.4088
```

## Properties
symmetry = No. 10
ρ = 6521 kg/m³
offset from the most stable computed form = 0.0845 eV per atom
total magnetization = 0.00 Bohr magnetons per cell
uncorrected energy = -0.168 Ha/atom

---

Density functional theory data (PBE-GGA) for PmSm4Al5 after structural relaxation.

Cell and atoms, written as extended XYZ:
```
10
Lattice="3.6852 0.0000 0.0000 0.0000 3.6852 0.0000 0.0000 0.0000 18.3973" Properties=species:S:1:pos:R:3 pbc="T T T"
Pm 0.0000 0.0000 0.0000
Sm 0.0000 0.0000 3.6925
Sm 0.0000 0.0000 7.3626
Sm 0.0000 0.0000 11.0347
Sm 0.0000 0.0000 14.7047
Al 1.8426 1.8426 1.8622
Al 1.8426 1.8426 5.5268
Al 1.8426 1.8426 9.1986
Al 1.8426 1.8426 12.8705
Al 1.8426 1.8426 16.5350
```

## Properties
symmetry = No. 123
ρ = 5858 kg/m³
total magnetization = 0.00 Bohr magnetons per cell
uncorrected energy = -0.169 Ha/atom

---

Density functional theory data (PBE-GGA) for Pm3SmAl2 after structural relaxation.

Cell and atoms, written as extended XYZ:
```
12
Lattice="5.2253 0.0000 0.0000 0.0000 9.7653 0.0000 0.0000 0.0000 6.6943" Properties=species:S:1:pos:R:3 pbc="T T T"
Pm 0.0000 0.4353 0.0000
Pm 0.0000 3.1973 2.2482
Pm 0.0000 6.5680 5.5953
Pm 0.0000 9.3300 3.3472
Pm 2.6127 1.7004 4.7824
Pm 2.6127 8.0649 1.4352
Sm 2.6127 4.4407 0.3348
Sm 2.6127 5.3247 3.6820
Al 0.0000 3.4348 5.4737
Al 0.0000 6.3305 2.1265
Al 2.6127 1.4517 1.5609
Al 2.6127 8.3136 4.9081
```

## Properties
symmetry = No. 26
ρ = 6216 kg/m³
offset from the most stable computed form = 0.0000 eV per atom
total magnetization = 0.00 Bohr magnetons per cell
uncorrected energy = -0.171 Ha/atom

---

Density functional theory data (PBE-GGA) for PmSm2Al after structural relaxation.

Cell and atoms, written as extended XYZ:
```
8
Lattice="5.3532 0.0000 0.0000 0.0000 3.5167 6.0865 0.0000 -3.5167 6.0865" Properties=species:S:1:pos:R:3 pbc="T T T"
Pm 0.0000 -1.8730 6.0865
Pm 0.0000 1.8730 6.0865
Sm 0.0000 0.0000 9.3303
Sm 2.6766 0.0000 5.0110
Sm 2.6766 -1.8708 8.2531
Sm 2.6766 1.8708 8.2531
Al 0.0000 0.0000 3.1134
Al 2.6766 0.0000 11.2180
```

## Properties
symmetry = No. 38
ρ = 6851 kg/m³
offset from the most stable computed form = 0.0000 eV per atom
total magnetization = 0.00 Bohr magnetons per cell
uncorrected energy = -0.172 Ha/atom

---

Density functional theory data (PBE-GGA) for Pm5Sm4Al after structural relaxation.

Cell and atoms, written as extended XYZ:
```
10
Lattice="3.6318 0.0000 0.0000 0.0000 4.9022 0.0000 0.0000 0.0000 17.9660" Properties=species:S:1:pos:R:3 pbc="T T T"
Pm 0.0000 0.0000 0.0000
Pm 0.0000 0.0000 3.7305
Pm 0.0000 0.0000 7.4299
Pm 0.0000 0.0000 10.5360
Pm 0.0000 0.0000 14.2355
Sm 1.8159 2.4511 1.8610
Sm 1.8159 2.4511 5.4943
Sm 1.8159 2.4511 12.4716
Sm 1.8159 2.4511 16.1050
Al 1.8159 2.4511 8.9830
```

## Properties
symmetry = No. 47
ρ = 7026 kg/m³
offset from the most stable computed form = 0.0000 eV per atom
total magnetization = 0.00 Bohr magnetons per cell
uncorrected energy = -0.171 Ha/atom

---

Density functional theory data (PBE-GGA) for PmSm2Al after structural relaxation.

Cell and atoms, written as extended XYZ:
```
4
Lattice="4.8568 0.0000 0.0000 0.0000 4.8568 0.0000 0.0000 0.0000 4.8484" Properties=species:S:1:pos:R:3 pbc="T T T"
Pm 0.0000 0.0000 0.0000
Sm 0.0000 2.4284 2.4242
Sm 2.4284 0.0000 2.4242
Al 2.4284 2.4284 0.0000
```

## Properties
symmetry = No. 123
ρ = 6863 kg/m³
offset from the most stable computed form = 0.0174 eV per atom
total magnetization = 0.01 Bohr magnetons per cell
uncorrected energy = -0.171 Ha/atom

---

Density functional theory data (PBE-GGA) for Pm4Sm15Al after structural relaxation.

Cell and atoms, written as extended XYZ:
```
20
Lattice="5.0632 0.0000 0.0000 0.0000 5.0632 0.0000 0.0000 0.0000 25.6215" Properties=species:S:1:pos:R:3 pbc="T T T"
Pm 0.0000 0.0000 2.5949
Pm 0.0000 0.0000 7.8114
Pm 0.0000 0.0000 17.8101
Pm 0.0000 0.0000 23.0265
Sm 0.0000 2.5316 0.0000
Sm 0.0000 2.5316 5.2183
Sm 0.0000 2.5316 10.4410
Sm 0.0000 2.5316 15.1805
Sm 0.0000 2.5316 20.4032
Sm 2.5316 0.0000 0.0000
Sm 2.5316 0.0000 5.2183
Sm 2.5316 0.0000 10.4410
Sm 2.5316 0.0000 15.1805
Sm 2.5316 0.0000 20.4032
Sm 2.5316 2.5316 2.6182
Sm 2.5316 2.5316 7.8495
Sm 2.5316 2.5316 12.8107
Sm 2.5316 2.5316 17.7720
Sm 2.5316 2.5316 23.0033
Al 0.0000 0.0000 12.8107
```

## Properties
symmetry = No. 123
ρ = 7236 kg/m³
total magnetization = 0.00 Bohr magnetons per cell
uncorrected energy = -0.172 Ha/atom

---

Density functional theory data (PBE-GGA) for Pm3SmAl2 after structural relaxation.

Cell and atoms, written as extended XYZ:
```
6
Lattice="2.4611 -7.5737 0.0000 2.4611 7.5737 0.0000 0.0000 0.0000 4.4855" Properties=species:S:1:pos:R:3 pbc="T T T"
Pm 0.0000 0.0000 0.0000
Pm 2.4611 2.6608 0.0000
Pm 2.4611 -2.6608 0.0000
Sm 2.4611 0.0000 2.2428
Al 2.4611 5.1745 2.2428
Al 2.4611 -5.1745 2.2428
```

## Properties
symmetry = No. 65
ρ = 6349 kg/m³
offset from the most stable computed form = 0.0815 eV per atom
total magnetization = 0.00 Bohr magnetons per cell
uncorrected energy = -0.168 Ha/atom

---

Density functional theory data (PBE-GGA) for Pm2Sm3Al3 after structural relaxation.

Cell and atoms, written as extended XYZ:
```
8
Lattice="-1.8841 2.6256 11.0783 1.8841 -2.6256 11.0783 1.8841 2.6256 -11.0783" Properties=species:S:1:pos:R:3 pbc="T T T"
Pm 0.0000 0.0000 5.0688
Pm 0.0000 0.0000 17.0878
Sm 0.0000 0.0000 0.0000
Sm 1.8841 0.0000 8.4797
Sm 0.0000 2.6256 2.5986
Al 1.8841 0.0000 2.5621
Al 0.0000 0.0000 11.0783
Al 0.0000 2.6256 8.5162
```

## Properties
symmetry = No. 71
ρ = 6227 kg/m³
offset from the most stable computed form = 0.0000 eV per atom
total magnetization = 0.00 Bohr magnetons per cell
uncorrected energy = -0.170 Ha/atom

---

Density functional theory data (PBE-GGA) for PmSm5Al3 after structural relaxation.

Cell and atoms, written as extended XYZ:
```
18
Lattice="9.2525 0.0000 0.0000 -4.6262 8.0129 0.0000 0.0000 0.0000 6.8033" Properties=species:S:1:pos:R:3 pbc="T T T"
Pm 0.0000 0.0000 0.0000
Pm 0.0000 0.0000 3.4016
Sm -1.5394 2.6664 1.7008
Sm -3.0868 5.3465 5.1025
Sm 3.0788 0.0000 1.7008
Sm 1.5394 2.6664 5.1025
Sm 0.0000 5.3419 0.0000
Sm 0.0000 5.3419 3.4016
Sm 6.1736 0.0000 5.1025
Sm 4.6262 2.6710 0.0000
Sm 4.6262 2.6710 3.4016
Sm 3.0868 5.3465 1.7008
Al -1.5478 2.6808 5.1025
Al -3.0785 5.3320 1.7008
Al 3.0955 0.0000 5.1025
Al 1.5478 2.6808 1.7008
Al 6.1569 0.0000 1.7008
Al 3.0785 5.3320 5.1025
```

## Properties
symmetry = No. 193
ρ = 6438 kg/m³
total magnetization = 0.00 Bohr magnetons per cell
uncorrected energy = -0.170 Ha/atom

---

Density functional theory data (PBE-GGA) for Pm5SmAl2 after structural relaxation.

Cell and atoms, written as extended XYZ:
```
16
Lattice="5.4230 0.0000 0.0000 -2.7115 4.6964 0.0000 0.0000 0.0000 20.0361" Properties=species:S:1:pos:R:3 pbc="T T T"
Pm 0.0000 0.0000 3.1083
Pm 0.0000 0.0000 6.9097
Pm 0.0000 0.0000 13.1264
Pm 0.0000 0.0000 16.9278
Pm 0.0000 3.1309 1.1314
Pm 0.0000 3.1309 5.0090
Pm 0.0000 3.1309 8.8866
Pm 2.7115 1.5655 11.1495
Pm 2.7115 1.5655 15.0271
Pm 2.7115 1.5655 18.9047
Sm 0.0000 3.1309 15.0271
Sm 2.7115 1.5655 5.0090
Al 0.0000 3.1309 12.0073
Al 0.0000 3.1309 18.0469
Al 2.7115 1.5655 1.9892
Al 2.7115 1.5655 8.0288
```

## Properties
symmetry = No. 194
ρ = 6048 kg/m³
offset from the most stable computed form = 0.0594 eV per atom
total magnetization = 0.00 Bohr magnetons per cell
uncorrected energy = -0.166 Ha/atom

---

Density functional theory data (PBE-GGA) for Pm8Sm6Al after structural relaxation.

Cell and atoms, written as extended XYZ:
```
15
Lattice="9.4552 0.0000 0.0000 -4.7276 8.1885 0.0000 0.0000 0.0000 6.4897" Properties=species:S:1:pos:R:3 pbc="T T T"
Pm -0.8408 2.1509 1.2412
Pm -2.4445 7.8412 1.2412
Pm 1.4423 1.8036 5.2485
Pm 0.0000 5.4590 1.0070
Pm 4.7276 2.7295 5.4827
Pm 3.2853 6.3848 1.2412
Pm 7.1721 0.3473 5.2485
Pm 5.5685 6.0376 5.2485
Sm -1.2349 3.6875 4.3870
Sm -0.9167 7.4142 4.3870
Sm 2.5760 2.9132 2.1027
Sm 2.1516 5.2753 4.3870
Sm 5.6443 0.7743 2.1027
Sm 5.9625 4.5010 2.1027
Al 0.0000 0.0000 3.2449
```

## Properties
symmetry = No. 147
ρ = 6904 kg/m³
total magnetization = 0.00 Bohr magnetons per cell
uncorrected energy = -0.169 Ha/atom

---

Density functional theory data (PBE-GGA) for PmSm5Al4 after structural relaxation.

Cell and atoms, written as extended XYZ:
```
10
Lattice="3.6482 0.0000 0.0000 0.0000 3.6482 0.0000 0.0000 0.0000 20.1865" Properties=species:S:1:pos:R:3 pbc="T T T"
Pm 0.0000 0.0000 0.0000
Sm 1.8241 1.8241 2.6240
Sm 1.8241 1.8241 6.3565
Sm 1.8241 1.8241 10.0933
Sm 1.8241 1.8241 13.8300
Sm 1.8241 1.8241 17.5626
Al 0.0000 0.0000 4.4636
Al 0.0000 0.0000 8.2226
Al 0.0000 0.0000 11.9639
Al 0.0000 0.0000 15.7230
```

## Properties
symmetry = No. 123
ρ = 6210 kg/m³
total magnetization = 0.00 Bohr magnetons per cell
uncorrected energy = -0.170 Ha/atom

---

Density functional theory data (PBE-GGA) for PmSm2Al2 after structural relaxation.

Cell and atoms, written as extended XYZ:
```
10
Lattice="5.7325 0.0000 0.0000 0.0000 3.7168 0.0000 -1.4512 0.0000 13.4602" Properties=species:S:1:pos:R:3 pbc="T T T"
Pm 0.6900 0.9292 3.1354
Pm 3.5914 2.7876 10.3248
Sm 0.7092 2.7876 6.2007
Sm 0.7237 0.9292 11.9631
Sm 3.5577 2.7876 1.4971
Sm 3.5721 0.9292 7.2595
Al 0.7611 2.7876 0.5441
Al 0.7135 0.9292 8.8631
Al 3.5678 2.7876 4.5972
Al 3.5202 0.9292 12.9162
```

## Properties
symmetry = No. 11
ρ = 5786 kg/m³
offset from the most stable computed form = 0.1710 eV per atom
total magnetization = 0.00 Bohr magnetons per cell
uncorrected energy = -0.164 Ha/atom

---

Density functional theory data (PBE-GGA) for Pm2Sm3Al3 after structural relaxation.

Cell and atoms, written as extended XYZ:
```
8
Lattice="4.8895 0.0000 0.0000 0.0000 4.8914 0.0000 0.0000 0.0000 9.0255" Properties=species:S:1:pos:R:3 pbc="T T T"
Pm 0.0000 0.0000 2.0520
Pm 0.0000 0.0000 6.9735
Sm 2.4448 0.0000 4.5128
Sm 2.4448 2.4457 2.0310
Sm 2.4448 2.4457 6.9946
Al 0.0000 2.4457 0.0000
Al 0.0000 2.4457 4.5128
Al 2.4448 0.0000 0.0000
```

## Properties
symmetry = No. 47
ρ = 6324 kg/m³
offset from the most stable computed form = 0.0148 eV per atom
total magnetization = 0.00 Bohr magnetons per cell
uncorrected energy = -0.169 Ha/atom

---

Density functional theory data (PBE-GGA) for PmSm14Al after structural relaxation.

Cell and atoms, written as extended XYZ:
```
16
Lattice="11.1919 0.0000 0.0000 0.0000 4.2167 5.5474 0.0000 -4.2167 5.5474" Properties=species:S:1:pos:R:3 pbc="T T T"
Pm 0.0000 0.0000 0.0000
Sm 0.0000 -1.7852 8.0954
Sm 0.0000 1.7852 8.0954
Sm 2.6087 -1.7266 5.6776
Sm 2.6087 1.7266 5.6776
Sm 2.6250 0.0000 2.5894
Sm 2.8886 0.0000 8.8471
Sm 5.5959 0.0000 0.0425
Sm 5.5959 0.0000 4.8245
Sm 5.5959 -1.7798 7.9782
Sm 5.5959 1.7798 7.9782
Sm 8.3033 0.0000 8.8471
Sm 8.5669 0.0000 2.5894
Sm 8.5831 -1.7266 5.6776
Sm 8.5831 1.7266 5.6776
Al 0.0000 0.0000 4.9592
```

## Properties
symmetry = No. 38
ρ = 7221 kg/m³
total magnetization = 0.00 Bohr magnetons per cell
uncorrected energy = -0.170 Ha/atom

---

Density functional theory data (PBE-GGA) for Pm4Sm9Al11 after structural relaxation.

Cell and atoms, written as extended XYZ:
```
24
Lattice="7.8550 -11.3194 0.0000 7.8550 11.3194 0.0000 0.0000 0.0000 3.4629" Properties=species:S:1:pos:R:3 pbc="T T T"
Pm 2.7875 1.8818 0.0000
Pm 2.7875 -1.8818 0.0000
Pm 12.9225 1.8818 0.0000
Pm 12.9225 -1.8818 0.0000
Sm 0.0000 0.0000 0.0000
Sm 6.0871 6.2449 0.0000
Sm 6.1691 2.1848 0.0000
Sm 9.6229 6.2449 0.0000
Sm 6.1691 -2.1848 0.0000
Sm 9.5409 2.1848 0.0000
Sm 6.0871 -6.2449 0.0000
Sm 9.5409 -2.1848 0.0000
Sm 9.6229 -6.2449 0.0000
Al 4.3063 4.2356 1.7315
Al 7.8550 8.5817 1.7315
Al 4.7365 0.0000 1.7315
Al 7.8550 4.2601 1.7315
Al 4.3063 -4.2356 1.7315
Al 7.8550 0.0000 1.7315
Al 11.4037 4.2356 1.7315
Al 7.8550 -4.2601 1.7315
Al 10.9735 0.0000 1.7315
Al 7.8550 -8.5817 1.7315
Al 11.4037 -4.2356 1.7315
```

## Properties
symmetry = No. 65
ρ = 6013 kg/m³
total magnetization = 0.00 Bohr magnetons per cell
uncorrected energy = -0.168 Ha/atom

---

Density functional theory data (PBE-GGA) for PmSmAlSn after structural relaxation.

Cell and atoms, written as extended XYZ:
```
4
Lattice="0.0000 3.7827 3.7827 3.7827 0.0000 3.7827 3.7827 3.7827 0.0000" Properties=species:S:1:pos:R:3 pbc="T T T"
Pm 0.0000 0.0000 0.0000
Sm 3.7827 3.7827 3.7827
Al 5.6740 5.6740 5.6740
Sn 1.8913 1.8913 1.8913
```

## Properties
symmetry = No. 216
ρ = 6766 kg/m³
offset from the most stable computed form = 0.0762 eV per atom
total magnetization = 0.00 Bohr magnetons per cell
uncorrected energy = -0.175 Ha/atom

---

Density functional theory data (PBE-GGA) for PmSmAlSn after structural relaxation.

Cell and atoms, written as extended XYZ:
```
4
Lattice="-2.0665 2.4156 5.3862 2.0665 -2.4156 5.3862 2.0665 2.4156 -5.3862" Properties=species:S:1:pos:R:3 pbc="T T T"
Pm 0.0000 0.0000 0.0000
Sm 2.0665 0.0000 2.8544
Al 0.0000 0.0000 5.8048
Sn 0.0000 2.4156 2.4364
```

## Properties
symmetry = No. 44
ρ = 6810 kg/m³
offset from the most stable computed form = 0.0000 eV per atom
total magnetization = 0.00 Bohr magnetons per cell
uncorrected energy = -0.178 Ha/atom

---

Density functional theory data (PBE-GGA) for TbPmSmAl after structural relaxation.

Cell and atoms, written as extended XYZ:
```
4
Lattice="0.0000 3.8405 3.8405 3.8405 0.0000 3.8405 3.8405 3.8405 0.0000" Properties=species:S:1:pos:R:3 pbc="T T T"
Tb 0.0000 0.0000 0.0000
Pm 5.7608 5.7608 5.7608
Sm 1.9203 1.9203 1.9203
Al 3.8405 3.8405 3.8405
```

## Properties
symmetry = No. 216
ρ = 7054 kg/m³
offset from the most stable computed form = 0.1232 eV per atom
total magnetization = 0.00 Bohr magnetons per cell
uncorrected energy = -0.166 Ha/atom

---

Density functional theory data (PBE-GGA) for TbPmSmAl after structural relaxation.

Cell and atoms, written as extended XYZ:
```
4
Lattice="4.8212 0.0000 0.0000 0.0000 4.8316 0.0000 0.0000 0.0000 4.8479" Properties=species:S:1:pos:R:3 pbc="T T T"
Tb 0.0000 0.0000 0.0000
Pm 2.4106 0.0000 2.4240
Sm 0.0000 2.4158 2.4240
Al 2.4106 2.4158 0.0000
```

## Properties
symmetry = No. 47
ρ = 7077 kg/m³
offset from the most stable computed form = 0.0000 eV per atom
total magnetization = 0.00 Bohr magnetons per cell
uncorrected energy = -0.170 Ha/atom

---

Density functional theory data (PBE-GGA) for PmSmAlTl after structural relaxation.

Cell and atoms, written as extended XYZ:
```
4
Lattice="0.0000 3.7905 3.7905 3.7905 0.0000 3.7905 3.7905 3.7905 0.0000" Properties=species:S:1:pos:R:3 pbc="T T T"
Pm 0.0000 0.0000 0.0000
Sm 3.7905 3.7905 3.7905
Al 5.6858 5.6858 5.6858
Tl 1.8953 1.8953 1.8953
```

## Properties
symmetry = No. 216
ρ = 8030 kg/m³
offset from the most stable computed form = 0.0195 eV per atom
total magnetization = 0.00 Bohr magnetons per cell
uncorrected energy = -0.156 Ha/atom